[1]
# PBE DyZnH, optimized geometry
data_DyZnH
_space_group_name_H-M_alt 'I 4 m m'
_space_group_IT_number 107
_space_group_name_Hall 'I 4 -2'
_cell_length_a 3.199
_cell_length_b 3.199
_cell_length_c 10.402
_cell_angle_alpha 90.00
_cell_angle_beta 90.00
_cell_angle_gamma 90.00
loop_
_atom_site_label
_atom_site_fract_x
_atom_site_fract_y
_atom_site_fract_z
Dy1 0.000 0.000 0.000
Zn1 0.000 0.000 0.298
H1 0.000 0.000 0.551
# Final energy, eV/atom: -3.08
# Mass density, g/cm³: 7.142
# ΔE to the lowest computed polymorph, meV per atom: 403
# M_tot, μB/cell: 0.87
# Density of states at the Fermi level, states/eV/cell: 4.449

[2]
# PBE NaIO2, optimized geometry
data_NaIO2
_space_group_name_H-M_alt 'I 41/a m d'
_space_group_IT_number 141
_cell_length_a 6.423
_cell_length_b 6.423
_cell_length_c 12.426
_cell_angle_alpha 90.00
_cell_angle_beta 90.00
_cell_angle_gamma 90.00
loop_
_space_group_symop_operation_xyz
'x,y,z'
'-x,-y,-z'
'-y+1/4,x+3/4,z+1/4'
'y+1/4,-x+3/4,-z+1/4'
'-x+1/2,-y,z+1/2'
'x+1/2,y,-z+1/2'
'y+1/4,-x+1/4,z+3/4'
'-y+1/4,x+1/4,-z+3/4'
'x,-y,-z'
'-x,y,z'
'-y+1/4,-x+1/4,-z+3/4'
'y+1/4,x+1/4,z+3/4'
'-x+1/2,y,-z+1/2'
'x+1/2,-y,z+1/2'
'y+1/4,x+3/4,-z+1/4'
'-y+1/4,-x+3/4,z+1/4'
'x+1/2,y+1/2,z+1/2'
'-x+1/2,-y+1/2,-z+1/2'
'-y+3/4,x+1/4,z+3/4'
'y+3/4,-x+1/4,-z+3/4'
'-x,-y+1/2,z'
'x,y+1/2,-z'
'y+3/4,-x+3/4,z+1/4'
'-y+3/4,x+3/4,-z+1/4'
'x+1/2,-y+1/2,-z+1/2'
'-x+1/2,y+1/2,z+1/2'
'-y+3/4,-x+3/4,-z+1/4'
'y+3/4,x+3/4,z+1/4'
'-x,y+1/2,-z'
'x,-y+1/2,z'
'y+3/4,x+1/4,-z+3/4'
'-y+3/4,-x+1/4,z+3/4'
loop_
_atom_site_label
_atom_site_fract_x
_atom_site_fract_y
_atom_site_fract_z
Na1 0.000 0.000 0.000
I1 0.000 0.000 0.500
O1 0.000 0.028 0.207
# Final energy, eV/atom: -3.84
# Mass density, g/cm³: 4.714
# ΔE to the lowest computed polymorph, meV per atom: 135
# M_tot, μB/cell: 0.00
# Energy relative to the elements, uncorrected, eV per formula unit: -2.59
# Density of states at the Fermi level, states/eV/cell: 0.796

[3]
# PBE Lu2GaO, optimized geometry
data_Lu2GaO
_space_group_name_H-M_alt 'R -3 m'
_space_group_IT_number 166
_space_group_name_Hall '-R 3 2"'
_cell_length_a 4.2247
_cell_length_b 4.2247
_cell_length_c 21.4299
_cell_angle_alpha 90.00
_cell_angle_beta 90.00
_cell_angle_gamma 120.00
loop_
_atom_site_label
_atom_site_fract_x
_atom_site_fract_y
_atom_site_fract_z
Lu1 0.0000 0.0000 0.0923
Ga1 0.0000 0.0000 0.5000
O1 0.0000 0.0000 0.0000
# Final energy, eV/atom: -5.55
# Mass density, g/cm³: 6.552
# M_tot, μB/cell: 0.00
# Energy relative to the elements, uncorrected, eV per formula unit: -5.18
# Density of states at the Fermi level, states/eV/cell: 5.737